{
  "formula": "LiCd4AgHg",
  "functional": "PBE",
  "state": "optimized geometry",
  "formation_energy_mev_per_atom": 70,
  "spacegroup": "Cmcm, No. 63",
  "lattice": [[5.038, -6.801, 0.000], [5.038, 6.801, 0.000], [0.000, 0.000, 5.765]],
  "species": ["Li", "Li", "Cd", "Cd", "Cd", "Cd", "Cd", "Cd", "Cd", "Cd", "Ag", "Ag", "Hg", "Hg"],
  "fractional_positions": [[0.094, 0.906, 0.750], [0.906, 0.094, 0.250], [0.225, 0.298, 0.750], [0.293, 0.707, 0.503], [0.293, 0.707, 0.997], [0.298, 0.225, 0.250], [0.702, 0.775, 0.750], [0.707, 0.293, 0.003], [0.707, 0.293, 0.497], [0.775, 0.702, 0.250], [0.500, 0.500, 0.000], [0.500, 0.500, 0.500], [0.109, 0.891, 0.250], [0.891, 0.109, 0.750]]
}

=====

{
  "formula": "La4Al2Cl",
  "functional": "PBE",
  "state": "optimized geometry",
  "total_energy_ev_per_atom": -4.80,
  "spacegroup": "C2/m, No. 12",
  "lattice": [[12.650, 0.000, 0.000], [0.000, 4.512, 0.000], [-5.155, 0.000, 7.380]],
  "species": ["La", "La", "La", "La", "La", "La", "La", "La", "Al", "Al", "Al", "Al", "Cl", "Cl"],
  "fractional_positions": [[0.092, 0.000, 0.385], [0.178, 0.500, 0.084], [0.322, 0.000, 0.916], [0.408, 0.500, 0.615], [0.592, 0.500, 0.385], [0.678, 0.000, 0.084], [0.822, 0.500, 0.916], [0.908, 0.000, 0.615], [0.114, 0.500, 0.665], [0.386, 0.000, 0.335], [0.614, 0.000, 0.665], [0.886, 0.500, 0.335], [0.000, 0.000, 0.000], [0.500, 0.500, 0.000]]
}

=====

{
  "formula": "K2InSn7",
  "functional": "PBE",
  "state": "optimized geometry",
  "formation_energy_mev_per_atom": -126,
  "spacegroup": "P-4m2, No. 115",
  "lattice": [[5.455, 0.000, 0.000], [0.000, 5.455, 0.000], [0.000, 0.000, 11.185]],
  "species": ["K", "K", "In", "Sn", "Sn", "Sn", "Sn", "Sn", "Sn", "Sn"],
  "fractional_positions": [[0.000, 0.500, 0.248], [0.500, 0.000, 0.752], [0.500, 0.500, 0.000], [0.000, 0.000, 0.000], [0.000, 0.000, 0.500], [0.000, 0.500, 0.618], [0.000, 0.500, 0.881], [0.500, 0.000, 0.119], [0.500, 0.000, 0.382], [0.500, 0.500, 0.500]]
}

=====

{
  "formula": "NbAlRh2",
  "functional": "PBE",
  "state": "optimized geometry",
  "formation_energy_mev_per_atom": -127,
  "spacegroup": "I-42d, No. 122",
  "lattice": [[6.822, 0.000, 0.000], [0.000, 6.822, 0.000], [0.000, 0.000, 5.656]],
  "species": ["Nb", "Nb", "Nb", "Nb", "Al", "Al", "Al", "Al", "Rh", "Rh", "Rh", "Rh", "Rh", "Rh", "Rh", "Rh"],
  "fractional_positions": [[0.000, 0.000, 0.000], [0.000, 0.500, 0.250], [0.500, 0.000, 0.750], [0.500, 0.500, 0.500], [0.000, 0.000, 0.500], [0.000, 0.500, 0.750], [0.500, 0.000, 0.250], [0.500, 0.500, 0.000], [0.237, 0.250, 0.625], [0.250, 0.737, 0.875], [0.250, 0.763, 0.375], [0.263, 0.250, 0.125], [0.737, 0.750, 0.125], [0.750, 0.237, 0.375], [0.750, 0.263, 0.875], [0.763, 0.750, 0.625]]
}

=====

{
  "formula": "Nd2AlFe2Co5",
  "functional": "PBE",
  "state": "optimized geometry",
  "formation_energy_mev_per_atom": 58,
  "spacegroup": "P4/mbm, No. 127",
  "lattice": [[9.622, 0.000, 0.000], [0.000, 9.622, 0.000], [0.000, 0.000, 3.336]],
  "species": ["Nd", "Nd", "Nd", "Nd", "Al", "Al", "Fe", "Fe", "Fe", "Fe", "Co", "Co", "Co", "Co", "Co", "Co", "Co", "Co", "Co", "Co"],
  "fractional_positions": [[0.180, 0.320, 0.000], [0.320, 0.820, 0.000], [0.680, 0.180, 0.000], [0.820, 0.680, 0.000], [0.000, 0.000, 0.000], [0.500, 0.500, 0.000], [0.121, 0.621, 0.000], [0.379, 0.121, 0.000], [0.621, 0.879, 0.000], [0.879, 0.379, 0.000], [0.000, 0.500, 0.500], [0.057, 0.794, 0.500], [0.206, 0.057, 0.500], [0.294, 0.557, 0.500], [0.443, 0.294, 0.500], [0.500, 0.000, 0.500], [0.557, 0.706, 0.500], [0.706, 0.443, 0.500], [0.794, 0.943, 0.500], [0.943, 0.206, 0.500]]
}

=====

{
  "formula": "Er2Sc2Rh3",
  "functional": "PBE",
  "state": "optimized geometry",
  "formation_energy_mev_per_atom": -852,
  "spacegroup": "R-3m, No. 166",
  "lattice": [[2.299, 1.327, 7.830], [-2.299, 1.327, 7.830], [0.000, -2.655, 7.830]],
  "species": ["Er", "Er", "Sc", "Sc", "Rh", "Rh", "Rh"],
  "fractional_positions": [[0.123, 0.123, 0.123], [0.877, 0.877, 0.877], [0.373, 0.373, 0.373], [0.627, 0.627, 0.627], [0.000, 0.000, 0.000], [0.255, 0.255, 0.255], [0.745, 0.745, 0.745]]
}

=====

{
  "formula": "ScZn2Tc",
  "functional": "PBE",
  "state": "optimized geometry",
  "formation_energy_mev_per_atom": -1,
  "spacegroup": "P4/mmm, No. 123",
  "relative_energy_mev_per_atom": 238.7,
  "lattice": [[2.847, 0.000, 0.000], [0.000, 2.847, 0.000], [0.000, 0.000, 7.879]],
  "species": ["Sc", "Zn", "Zn", "Tc"],
  "fractional_positions": [[0.000, 0.000, 0.000], [0.500, 0.500, 0.268], [0.500, 0.500, 0.732], [0.000, 0.000, 0.500]]
}

=====

{
  "formula": "ThMg4Tl5",
  "functional": "PBE",
  "state": "optimized geometry",
  "formation_energy_mev_per_atom": -52,
  "spacegroup": "P4/mmm, No. 123",
  "lattice": [[3.598, 0.000, 0.000], [0.000, 3.598, 0.000], [0.000, 0.000, 19.764]],
  "species": ["Th", "Mg", "Mg", "Mg", "Mg", "Tl", "Tl", "Tl", "Tl", "Tl"],
  "fractional_positions": [[0.000, 0.000, 0.000], [0.000, 0.000, 0.208], [0.000, 0.000, 0.401], [0.000, 0.000, 0.599], [0.000, 0.000, 0.792], [0.500, 0.500, 0.117], [0.500, 0.500, 0.305], [0.500, 0.500, 0.500], [0.500, 0.500, 0.695], [0.500, 0.500, 0.883]]
}

=====

{
  "formula": "FeRuWI2",
  "functional": "PBE",
  "state": "optimized geometry",
  "total_energy_ev_per_atom": -4.89,
  "spacegroup": "P4/mmm, No. 123",
  "lattice": [[4.968, 0.000, 0.000], [0.000, 4.968, 0.000], [0.000, 0.000, 4.446]],
  "species": ["Fe", "Ru", "W", "I", "I"],
  "fractional_positions": [[0.000, 0.000, 0.000], [0.000, 0.000, 0.500], [0.500, 0.500, 0.500], [0.000, 0.500, 0.000], [0.500, 0.000, 0.000]]
}

=====

{
  "formula": "AcNd2Tl",
  "functional": "PBE",
  "state": "optimized geometry",
  "formation_energy_mev_per_atom": -159,
  "spacegroup": "P4/mmm, No. 123",
  "relative_energy_mev_per_atom": 18.8,
  "lattice": [[5.134, 0.000, 0.000], [0.000, 5.134, 0.000], [0.000, 0.000, 5.086]],
  "species": ["Ac", "Nd", "Nd", "Tl"],
  "fractional_positions": [[0.000, 0.000, 0.000], [0.000, 0.500, 0.500], [0.500, 0.000, 0.500], [0.500, 0.500, 0.000]]
}

=====

{
  "formula": "TiNbSnRu",
  "functional": "PBE",
  "state": "optimized geometry",
  "formation_energy_mev_per_atom": -194,
  "spacegroup": "F-43m, No. 216",
  "lattice": [[6.500, 0.000, 0.000], [0.000, 6.500, 0.000], [0.000, 0.000, 6.500]],
  "species": ["Ti", "Ti", "Ti", "Ti", "Nb", "Nb", "Nb", "Nb", "Sn", "Sn", "Sn", "Sn", "Ru", "Ru", "Ru", "Ru"],
  "fractional_positions": [[0.000, 0.000, 0.000], [0.000, 0.500, 0.500], [0.500, 0.000, 0.500], [0.500, 0.500, 0.000], [0.250, 0.250, 0.250], [0.250, 0.750, 0.750], [0.750, 0.250, 0.750], [0.750, 0.750, 0.250], [0.250, 0.250, 0.750], [0.250, 0.750, 0.250], [0.750, 0.250, 0.250], [0.750, 0.750, 0.750], [0.000, 0.000, 0.500], [0.000, 0.500, 0.000], [0.500, 0.000, 0.000], [0.500, 0.500, 0.500]]
}

=====

{
  "formula": "Ho5SnS4",
  "functional": "PBE",
  "state": "optimized geometry",
  "total_energy_ev_per_atom": -6.02,
  "spacegroup": "C2/m, No. 12",
  "lattice": [[6.577, -1.992, 0.000], [6.577, 1.992, 0.000], [-4.804, 0.000, 8.585]],
  "species": ["Ho", "Ho", "Ho", "Ho", "Ho", "Sn", "S", "S", "S", "S"],
  "fractional_positions": [[0.000, 0.000, 0.000], [0.204, 0.204, 0.815], [0.391, 0.391, 0.611], [0.609, 0.609, 0.389], [0.796, 0.796, 0.185], [0.000, 0.000, 0.500], [0.202, 0.202, 0.290], [0.404, 0.404, 0.099], [0.596, 0.596, 0.901], [0.798, 0.798, 0.710]]
}

=====

{
  "formula": "KAc2PuSe4",
  "functional": "PBE",
  "state": "optimized geometry",
  "total_energy_ev_per_atom": -6.38,
  "spacegroup": "P2/m, No. 10",
  "lattice": [[7.618, 0.000, 0.000], [0.000, 4.431, 0.000], [-2.591, 0.000, 7.316]],
  "species": ["K", "Ac", "Ac", "Pu", "Se", "Se", "Se", "Se"],
  "fractional_positions": [[0.000, 0.000, 0.000], [0.500, 0.000, 0.500], [0.500, 0.500, 0.000], [0.000, 0.500, 0.500], [0.240, 0.000, 0.736], [0.253, 0.500, 0.261], [0.747, 0.500, 0.739], [0.760, 0.000, 0.264]]
}

=====

{
  "formula": "ZrTiCdGa",
  "functional": "PBE",
  "state": "optimized geometry",
  "formation_energy_mev_per_atom": -154,
  "spacegroup": "F-43m, No. 216",
  "lattice": [[6.719, 0.000, 0.000], [0.000, 6.719, 0.000], [0.000, 0.000, 6.719]],
  "species": ["Zr", "Zr", "Zr", "Zr", "Ti", "Ti", "Ti", "Ti", "Cd", "Cd", "Cd", "Cd", "Ga", "Ga", "Ga", "Ga"],
  "fractional_positions": [[0.000, 0.000, 0.000], [0.000, 0.500, 0.500], [0.500, 0.000, 0.500], [0.500, 0.500, 0.000], [0.000, 0.000, 0.500], [0.000, 0.500, 0.000], [0.500, 0.000, 0.000], [0.500, 0.500, 0.500], [0.250, 0.250, 0.250], [0.250, 0.750, 0.750], [0.750, 0.250, 0.750], [0.750, 0.750, 0.250], [0.250, 0.250, 0.750], [0.250, 0.750, 0.250], [0.750, 0.250, 0.250], [0.750, 0.750, 0.750]]
}

=====

{
  "formula": "Sb2AsRh",
  "functional": "PBE",
  "state": "optimized geometry",
  "total_energy_ev_per_atom": -5.15,
  "spacegroup": "Cm, No. 8",
  "lattice": [[8.457, 0.000, 0.000], [0.000, 3.755, 0.000], [-2.278, 0.000, 5.979]],
  "species": ["Sb", "Sb", "Sb", "Sb", "As", "As", "Rh", "Rh"],
  "fractional_positions": [[0.000, 0.000, 0.000], [0.196, 0.000, 0.673], [0.500, 0.500, 0.000], [0.696, 0.500, 0.673], [0.326, 0.000, 0.331], [0.826, 0.500, 0.331], [0.119, 0.500, 0.337], [0.619, 0.000, 0.337]]
}

=====

{
  "formula": "Ac2HoTe2N2",
  "functional": "PBE",
  "state": "optimized geometry",
  "total_energy_ev_per_atom": -6.45,
  "spacegroup": "I4/mmm, No. 139",
  "lattice": [[4.546, 0.000, 0.000], [0.000, 4.546, 0.000], [0.000, 0.000, 17.090]],
  "species": ["Ac", "Ac", "Ac", "Ac", "Ho", "Ho", "Te", "Te", "Te", "Te", "N", "N", "N", "N"],
  "fractional_positions": [[0.000, 0.000, 0.105], [0.000, 0.000, 0.895], [0.500, 0.500, 0.395], [0.500, 0.500, 0.605], [0.000, 0.000, 0.500], [0.500, 0.500, 0.000], [0.000, 0.000, 0.318], [0.000, 0.000, 0.682], [0.500, 0.500, 0.182], [0.500, 0.500, 0.818], [0.000, 0.500, 0.000], [0.000, 0.500, 0.500], [0.500, 0.000, 0.000], [0.500, 0.000, 0.500]]
}

=====

{
  "formula": "Cs4HAuBr2",
  "functional": "PBE",
  "state": "optimized geometry",
  "total_energy_ev_per_atom": -2.67,
  "spacegroup": "P2/m, No. 10",
  "lattice": [[8.829, 0.000, 0.000], [0.000, 5.089, 0.000], [-2.915, 0.000, 8.340]],
  "species": ["Cs", "Cs", "Cs", "Cs", "H", "Au", "Br", "Br"],
  "fractional_positions": [[0.235, 0.000, 0.235], [0.240, 0.500, 0.761], [0.760, 0.500, 0.239], [0.765, 0.000, 0.765], [0.000, 0.500, 0.000], [0.000, 0.000, 0.500], [0.500, 0.000, 0.000], [0.500, 0.500, 0.500]]
}

=====

{
  "formula": "K3C",
  "functional": "PBE",
  "state": "optimized geometry",
  "formation_energy_mev_per_atom": 1069,
  "spacegroup": "Cmcm, No. 63",
  "relative_energy_mev_per_atom": 21.5,
  "lattice": [[8.169, 0.000, 0.000], [0.000, 21.860, 0.000], [0.000, 0.000, 4.123]],
  "species": ["K", "K", "K", "K", "K", "K", "K", "K", "K", "K", "K", "K", "C", "C", "C", "C"],
  "fractional_positions": [[0.000, 0.246, 0.250], [0.000, 0.754, 0.750], [0.222, 0.095, 0.250], [0.222, 0.905, 0.750], [0.278, 0.405, 0.750], [0.278, 0.595, 0.250], [0.500, 0.254, 0.750], [0.500, 0.746, 0.250], [0.722, 0.405, 0.750], [0.722, 0.595, 0.250], [0.778, 0.095, 0.250], [0.778, 0.905, 0.750], [0.000, 0.150, 0.750], [0.000, 0.850, 0.250], [0.500, 0.350, 0.250], [0.500, 0.650, 0.750]]
}

=====

{
  "formula": "TaCuNiS4",
  "functional": "PBE",
  "state": "optimized geometry",
  "total_energy_ev_per_atom": -6.02,
  "spacegroup": "Imma, No. 74",
  "lattice": [[-3.425, 3.574, 5.041], [3.425, -3.574, 5.041], [3.425, 3.574, -5.041]],
  "species": ["Ta", "Ta", "Cu", "Cu", "Ni", "Ni", "S", "S", "S", "S", "S", "S", "S", "S"],
  "fractional_positions": [[0.500, 0.000, 0.000], [0.500, 0.500, 0.500], [0.134, 0.384, 0.750], [0.866, 0.616, 0.250], [0.000, 0.000, 0.000], [0.500, 0.000, 0.500], [0.252, 0.248, 0.004], [0.256, 0.229, 0.473], [0.256, 0.752, 0.504], [0.256, 0.783, 0.027], [0.744, 0.217, 0.973], [0.744, 0.248, 0.496], [0.744, 0.771, 0.527], [0.748, 0.752, 0.996]]
}

=====

V per entry: 395.1 421.2 332.8 263.3 308.9 143.4 63.9 255.9 109.7 134.1 274.6 224.9 246.9 303.4 189.9 353.2 374.8 736.3 246.8 Å³/cell